[1]
Material: ZrNpTiGa
Method: DFT, GGA-PBE
State: relaxed

Density of states at the Fermi level ... 10.9 states/eV/f.u.

Structure (CIF):
```
data_ZrNpTiGa
_chemical_formula_sum 'Zr4 Np4 Ti4 Ga4'
_cell_length_a 6.795
_cell_length_b 6.795
_cell_length_c 6.795
_cell_angle_alpha 90.00
_cell_angle_beta 90.00
_cell_angle_gamma 90.00
_space_group_name_H-M_alt 'F -4 3 m'
_space_group_IT_number 216
_space_group_name_Hall 'F -4 2 3'
loop_
_atom_site_label
_atom_site_type_symbol
_atom_site_fract_x
_atom_site_fract_y
_atom_site_fract_z
Zr1 Zr 0.000 0.000 0.000
Np1 Np 0.250 0.250 0.250
Ti1 Ti 0.000 0.000 0.500
Ga1 Ga 0.250 0.250 0.750
```


[2]
Material: NpTlGa2
Method: DFT, GGA-PBE
State: relaxed

Density of states at the Fermi level ... 8.4 states/eV/f.u.

Structure (CIF):
```
data_NpTlGa2
_chemical_formula_sum 'Np4 Tl4 Ga8'
_cell_length_a 7.102
_cell_length_b 7.102
_cell_length_c 7.102
_cell_angle_alpha 90.00
_cell_angle_beta 90.00
_cell_angle_gamma 90.00
_space_group_name_H-M_alt 'F m -3 m'
_space_group_IT_number 225
_space_group_name_Hall '-F 4 2 3'
loop_
_atom_site_label
_atom_site_type_symbol
_atom_site_fract_x
_atom_site_fract_y
_atom_site_fract_z
Np1 Np 0.000 0.000 0.000
Tl1 Tl 0.000 0.000 0.500
Ga1 Ga 0.250 0.250 0.250
```


[3]
Material: NpTlGa2
Method: DFT, GGA-PBE
State: relaxed

Density of states at the Fermi level ... 8.5 states/eV/f.u.

Structure (CIF):
```
data_NpTlGa2
_chemical_formula_sum 'Np1 Tl1 Ga2'
_cell_length_a 4.565
_cell_length_b 4.565
_cell_length_c 4.224
_cell_angle_alpha 90.00
_cell_angle_beta 90.00
_cell_angle_gamma 90.00
_space_group_name_H-M_alt 'P 4/m m m'
_space_group_IT_number 123
_space_group_name_Hall '-P 4 2'
loop_
_atom_site_label
_atom_site_type_symbol
_atom_site_fract_x
_atom_site_fract_y
_atom_site_fract_z
Np1 Np 0.000 0.000 0.000
Tl1 Tl 0.500 0.500 0.000
Ga1 Ga 0.000 0.500 0.500
```


[4]
Material: NpTlGa4
Method: DFT, GGA-PBE
State: relaxed

Density of states at the Fermi level ... 13.3 states/eV/f.u.

Structure (CIF):
```
data_NpTlGa4
_chemical_formula_sum 'Np4 Tl4 Ga16'
_cell_length_a 7.954
_cell_length_b 7.954
_cell_length_c 7.954
_cell_angle_alpha 90.00
_cell_angle_beta 90.00
_cell_angle_gamma 90.00
_space_group_name_H-M_alt 'F -4 3 m'
_space_group_IT_number 216
_space_group_name_Hall 'F -4 2 3'
loop_
_atom_site_label
_atom_site_type_symbol
_atom_site_fract_x
_atom_site_fract_y
_atom_site_fract_z
Np1 Np 0.000 0.000 0.000
Tl1 Tl 0.250 0.250 0.750
Ga1 Ga 0.126 0.126 0.374
```


[5]
Material: TmNp4Ga12
Method: DFT, GGA-PBE
State: relaxed

Density of states at the Fermi level ... 45.1 states/eV/f.u.

Structure (CIF):
```
data_TmNp4Ga12
_chemical_formula_sum 'Tm2 Np8 Ga24'
_cell_length_a 8.798
_cell_length_b 8.798
_cell_length_c 8.798
_cell_angle_alpha 90.00
_cell_angle_beta 90.00
_cell_angle_gamma 90.00
_space_group_name_H-M_alt 'I m -3 m'
_space_group_IT_number 229
_space_group_name_Hall '-I 4 2 3'
loop_
_atom_site_label
_atom_site_type_symbol
_atom_site_fract_x
_atom_site_fract_y
_atom_site_fract_z
Tm1 Tm 0.000 0.000 0.000
Np1 Np 0.250 0.250 0.250
Ga1 Ga 0.000 0.000 0.314
Ga2 Ga 0.000 0.250 0.500
```


[6]
Material: TmNpGa2
Method: DFT, GGA-PBE
State: relaxed

Density of states at the Fermi level ... 3.5 states/eV/f.u.

Structure (CIF):
```
data_TmNpGa2
_chemical_formula_sum 'Tm4 Np4 Ga8'
_cell_length_a 7.068
_cell_length_b 7.068
_cell_length_c 7.068
_cell_angle_alpha 90.00
_cell_angle_beta 90.00
_cell_angle_gamma 90.00
_space_group_name_H-M_alt 'F m -3 m'
_space_group_IT_number 225
_space_group_name_Hall '-F 4 2 3'
loop_
_atom_site_label
_atom_site_type_symbol
_atom_site_fract_x
_atom_site_fract_y
_atom_site_fract_z
Tm1 Tm 0.000 0.000 0.000
Np1 Np 0.000 0.000 0.500
Ga1 Ga 0.250 0.250 0.250
```


[7]
Material: TmNp2Ga9
Method: DFT, GGA-PBE
State: relaxed

Density of states at the Fermi level ... 17.2 states/eV/f.u.

Structure (CIF):
```
data_TmNp2Ga9
_chemical_formula_sum 'Tm1 Np2 Ga9'
_cell_length_a 4.249
_cell_length_b 4.249
_cell_length_c 12.790
_cell_angle_alpha 90.00
_cell_angle_beta 90.00
_cell_angle_gamma 90.00
_space_group_name_H-M_alt 'P 4/m m m'
_space_group_IT_number 123
_space_group_name_Hall '-P 4 2'
loop_
_atom_site_label
_atom_site_type_symbol
_atom_site_fract_x
_atom_site_fract_y
_atom_site_fract_z
Tm1 Tm 0.000 0.000 0.000
Np1 Np 0.000 0.000 0.331
Ga1 Ga 0.000 0.500 0.166
Ga2 Ga 0.000 0.500 0.500
Ga3 Ga 0.500 0.500 0.000
Ga4 Ga 0.500 0.500 0.335
```


[8]
Material: TmNpGa2
Method: DFT, GGA-PBE
State: relaxed

Density of states at the Fermi level ... 4.1 states/eV/f.u.

Structure (CIF):
```
data_TmNpGa2
_chemical_formula_sum 'Tm1 Np1 Ga2'
_cell_length_a 5.066
_cell_length_b 5.066
_cell_length_c 3.454
_cell_angle_alpha 90.00
_cell_angle_beta 90.00
_cell_angle_gamma 90.00
_space_group_name_H-M_alt 'P 4/m m m'
_space_group_IT_number 123
_space_group_name_Hall '-P 4 2'
loop_
_atom_site_label
_atom_site_type_symbol
_atom_site_fract_x
_atom_site_fract_y
_atom_site_fract_z
Tm1 Tm 0.000 0.000 0.000
Np1 Np 0.500 0.500 0.000
Ga1 Ga 0.000 0.500 0.500
```


The formation energy from the elements results, record by record, are as follows: 40; 64; 1; 39; -277; -94; -361; -85 kJ/mol of formula units.